[1]
A plane-wave DFT calculation with PBE was carried out for crystalline BaAc2Te at its relaxed geometry.

Cell: 4.299 4.299 12.487 Å, 80.09 80.09 60.00°
Sites, in units of the cell vectors:
Ac 0.892 0.892 0.324
Ac 0.108 0.108 0.676
Te 0.500 0.500 0.500
Ba 0.000 0.000 0.000

Calculated values
crystal system = trigonal
D(E_F) = 4.02 states/eV/cell
electronic total energy = -3.78 eV/atom
formation energy without anion corrections = -461 meV per atom
M_tot = 0.00 μB/f.u.



[2]
A plane-wave DFT calculation with PBE was carried out for crystalline PrScGa2Ni2 at its relaxed geometry.

Cell: 4.293 4.293 6.897 Å, 90.00 90.00 120.00°
Sites, in units of the cell vectors:
Ni 0.667 0.333 0.306
Ni 0.333 0.667 0.694
Ga 0.667 0.333 0.704
Ga 0.333 0.667 0.296
Pr 0.000 0.000 0.000
Sc 0.000 0.000 0.500

Calculated values
crystal system = trigonal
E_form = -13.9 kcal/mol of atoms
D(E_F) = 5.03 states/eV/cell
electronic total energy = -5.39 eV/atom
M_tot = 0.00 μB/f.u.



[3]
A plane-wave DFT calculation with PBE was carried out for crystalline TcMoRh2 at its relaxed geometry.

Cell: 4.701 4.701 4.707 Å, 130.73 130.72 72.14°
Sites, in units of the cell vectors:
Rh 0.750 0.250 0.500
Rh 0.000 0.000 0.000
Tc 0.500 0.500 0.000
Mo 0.250 0.750 0.500

Calculated values
crystal system = orthorhombic
E_form = -2.0 kcal/mol of atoms
D(E_F) = 4.01 states/eV/cell
electronic total energy = -9.06 eV/atom
relative energy among the computed polymorphs = 11.7 kJ per mole of atoms
M_tot = 0.00 μB/f.u.



[4]
A plane-wave DFT calculation with PBE was carried out for crystalline Tb3CePr3Te8 at its relaxed geometry.

Cell: 8.873 8.881 8.897 Å, 119.96 90.02 120.02°
Sites, in units of the cell vectors:
Pr 0.000 0.500 0.000
Pr 0.500 0.500 0.000
Pr 0.000 0.000 0.000
Tb 0.500 0.000 0.500
Tb 0.000 0.500 0.500
Tb 0.500 0.500 0.500
Te 0.257 0.991 0.749
Te 0.266 0.008 0.251
Te 0.734 0.992 0.749
Te 0.254 0.508 0.262
Te 0.746 0.492 0.738
Te 0.257 0.515 0.749
Te 0.743 0.009 0.251
Te 0.743 0.485 0.251
Ce 0.000 0.000 0.500

Calculated values
crystal system = monoclinic
D(E_F) = 14.66 states/eV/cell
electronic total energy = -5.36 eV/atom
formation energy without anion corrections = -1411 meV per atom
M_tot = 1.44 μB/f.u.



Repeat the third record exactly.
A plane-wave DFT calculation with PBE was carried out for crystalline TcMoRh2 at its relaxed geometry.

Cell: 4.701 4.701 4.707 Å, 130.73 130.72 72.14°
Sites, in units of the cell vectors:
Rh 0.750 0.250 0.500
Rh 0.000 0.000 0.000
Tc 0.500 0.500 0.000
Mo 0.250 0.750 0.500

Calculated values
crystal system = orthorhombic
E_form = -2.0 kcal/mol of atoms
D(E_F) = 4.01 states/eV/cell
electronic total energy = -9.06 eV/atom
relative energy among the computed polymorphs = 11.7 kJ per mole of atoms
M_tot = 0.00 μB/f.u.